No. 1
SmEr2Ru2 | PBE | optimized geometry

Unit cell a=3.382 b=3.409 c=10.361 alpha=80.53 beta=90.00 gamma=90.00
Atoms (fractional coordinates):
Er  0.000  0.167  0.667
Er  0.000  0.833  0.333
Sm  0.000  0.000  0.000
Ru  0.500  0.408  0.184
Ru  0.500  0.592  0.816

Calculated values
**Energy of formation**: -0.28 eV per atom
**Total magnetic moment**: 0.00 μB/f.u.
**E**: -6.760 eV/atom

=====

No. 2
SmEr2Ru2 | PBE | optimized geometry

Unit cell a=4.368 b=5.265 c=11.502 alpha=108.82 beta=90.00 gamma=90.00
Atoms (fractional coordinates):
Er  0.750  0.726  0.478
Er  0.750  0.186  0.122
Er  0.250  0.274  0.522
Er  0.250  0.814  0.878
Ru  0.750  0.605  0.014
Ru  0.250  0.395  0.986
Ru  0.750  0.135  0.360
Ru  0.250  0.865  0.640
Sm  0.250  0.781  0.238
Sm  0.750  0.219  0.762

Calculated values
**Energy of formation**: -0.20 eV per atom
**Total magnetic moment**: 0.00 μB/f.u.
**E**: -6.681 eV/atom

=====

No. 3
SmEr3Ru | PBE | optimized geometry

Unit cell a=7.263 b=7.263 c=7.204 alpha=107.64 beta=112.28 gamma=108.86
Atoms (fractional coordinates):
Ru  0.635  0.748  0.383
Ru  0.365  0.252  0.617
Er  0.299  0.555  0.854
Er  0.151  0.943  0.699
Er  0.701  0.445  0.146
Er  0.755  0.548  0.699
Er  0.849  0.057  0.301
Er  0.245  0.452  0.301
Sm  0.712  0.053  0.766
Sm  0.288  0.947  0.234

Calculated values
**Energy of formation**: -0.21 eV per atom
**Total magnetic moment**: 0.00 μB/f.u.
**E**: -5.744 eV/atom

=====

No. 4
SmErTlRu | PBE | optimized geometry

Unit cell a=5.115 b=5.115 c=5.115 alpha=60.00 beta=60.00 gamma=60.00
Atoms (fractional coordinates):
Er  0.500  0.500  0.500
Tl  0.250  0.250  0.250
Sm  0.000  0.000  0.000
Ru  0.750  0.750  0.750

Calculated values
**Energy of formation**: -0.22 eV per atom
**Total magnetic moment**: 0.00 μB/f.u.
**E**: -5.455 eV/atom

=====

No. 5
Er2Sn5Ru3 | PBE | optimized geometry

Unit cell a=4.418 b=7.193 c=13.451 alpha=90.00 beta=99.45 gamma=90.00
Atoms (fractional coordinates):
Sn  0.878  0.749  0.757
Sn  0.122  0.249  0.243
Sn  0.049  0.585  0.097
Sn  0.403  0.383  0.805
Sn  0.706  0.443  0.412
Sn  0.951  0.085  0.903
Sn  0.709  0.014  0.417
Sn  0.294  0.943  0.588
Sn  0.291  0.514  0.583
Sn  0.597  0.883  0.195
Ru  0.951  0.472  0.902
Ru  0.049  0.972  0.098
Ru  0.606  0.505  0.212
Ru  0.394  0.005  0.788
Ru  0.224  0.227  0.449
Ru  0.776  0.727  0.551
Er  0.173  0.733  0.347
Er  0.477  0.754  0.954
Er  0.827  0.233  0.653
Er  0.523  0.254  0.046

Calculated values
**Energy of formation**: -0.40 eV per atom
**Total magnetic moment**: 0.00 μB/f.u.
**E**: -6.092 eV/atom

=====

No. 6
Er8SnRu2 | PBE | optimized geometry

Unit cell a=5.410 b=7.813 c=7.813 alpha=112.63 beta=97.77 gamma=97.77
Atoms (fractional coordinates):
Sn  0.500  0.000  0.000
Ru  0.000  0.687  0.313
Ru  0.000  0.313  0.687
Er  0.080  0.067  0.331
Er  0.920  0.669  0.933
Er  0.500  0.246  0.754
Er  0.500  0.754  0.246
Er  0.700  0.387  0.387
Er  0.300  0.613  0.613
Er  0.920  0.933  0.669
Er  0.080  0.331  0.067

Calculated values
**Energy of formation**: -0.33 eV per atom
**Total magnetic moment**: 0.00 μB/f.u.
**E**: -5.698 eV/atom

=====

| no. | V (Å³ per atom) |
| --- | --- |
| 1 | 23.569 |
| 2 | 25.041 |
| 3 | 29.080 |
| 4 | 23.653 |
| 5 | 21.080 |
| 6 | 26.876 |